Arrangement 1

VASP calculation (GGA-PBE) on a geometry-optimized Ca4InRh structure.

Output
**Symmetry**: F-43m
**Magnetic moment**: 0.141 μB per cell
**Fermi-level density of states**: 3.33 states/eV/f.u.

abc: 6.1930 6.1930 6.1930
angles: 60.00 60.00 60.00
Closest atoms and distances in Å follow each position.
Positions (direct):
Ca (0.3759, 0.3759, 0.3759)  6 Ca 3.07-3.12
Ca (0.3759, 0.3759, 0.8723)  6 Ca 3.07-3.12
Ca (0.3759, 0.8723, 0.3759)  6 Ca 3.07-3.12
Ca (0.8723, 0.3759, 0.3759)  6 Ca 3.07-3.12
In (0.0000, 0.0000, 0.0000)  12 Ca 3.63, 4 Rh 3.79
Rh (0.7500, 0.7500, 0.7500)  12 Ca 3.63, 4 In 3.79

=====

Arrangement 2

VASP calculation (GGA-PBE) on a geometry-optimized Ca4InRh structure.

Output
**Symmetry**: C2/c
**Magnetic moment**: 0.000 μB per cell
**Fermi-level density of states**: 2.78 states/eV/f.u.

abc: 8.2256 8.2256 6.1721
angles: 101.27 101.27 112.75
Closest atoms and distances in Å follow each position.
Positions (direct):
Ca (0.0554, 0.7219, 0.9409)  2 Rh 2.90-2.93
Ca (0.2118, 0.3583, 0.6446)  2 Rh 3.03-3.07, 1 In 3.35
Ca (0.2781, 0.9446, 0.5591)  2 Rh 2.90-2.93
Ca (0.3583, 0.2118, 0.1446)  2 Rh 3.03-3.07, 1 In 3.35
Ca (0.6417, 0.7882, 0.8554)  2 Rh 3.03-3.07, 1 In 3.35
Ca (0.7219, 0.0554, 0.4409)  2 Rh 2.90-2.93
Ca (0.7882, 0.6417, 0.3554)  2 Rh 3.03-3.07, 1 In 3.35
Ca (0.9446, 0.2781, 0.0591)  2 Rh 2.90-2.93
In (0.3686, 0.6314, 0.2500)  8 Ca 3.31-3.64
In (0.6314, 0.3686, 0.7500)  8 Ca 3.31-3.64
Rh (0.0015, 0.9985, 0.7500)  8 Ca 2.90-3.07, 2 Rh 3.09
Rh (0.9985, 0.0015, 0.2500)  8 Ca 2.90-3.07, 2 Rh 3.09

=====

Quick one: most stable of them? arrangement 2

=====

Arrangement 1

VASP calculation (GGA-PBE) on a geometry-optimized CaInRh3 structure.

Output
**Symmetry**: Pm-3m
**Magnetic moment**: 1.375 μB per cell
**Fermi-level density of states**: 5.59 states/eV/f.u.

abc: 4.7655 4.7655 4.7655
angles: 90.00 90.00 90.00
Closest atoms and distances in Å follow each position.
Positions (direct):
Ca (0.0000, 0.0000, 0.0000)  6 Rh 2.38
In (0.5000, 0.5000, 0.5000)  12 Rh 3.37
Rh (0.0000, 0.0000, 0.5000)  2 Ca 2.38
Rh (0.0000, 0.5000, 0.0000)  2 Ca 2.38
Rh (0.5000, 0.0000, 0.0000)  2 Ca 2.38

=====

Arrangement 2

VASP calculation (GGA-PBE) on a geometry-optimized CaInRh3 structure.

Output
**Symmetry**: Pm-3m
**Magnetic moment**: 1.398 μB per cell
**Fermi-level density of states**: 5.54 states/eV/f.u.

abc: 4.9176 4.9176 4.9176
angles: 90.00 90.00 90.00
Closest atoms and distances in Å follow each position.
Positions (direct):
Ca (0.0000, 0.0000, 0.0000)  12 Rh 3.48
In (0.5000, 0.5000, 0.5000)  6 Rh 2.46
Rh (0.0000, 0.5000, 0.5000)  2 In 2.46
Rh (0.5000, 0.0000, 0.5000)  2 In 2.46
Rh (0.5000, 0.5000, 0.0000)  2 In 2.46

=====

Quick one: most stable of them? arrangement 2

=====

Arrangement 1

VASP calculation (GGA-PBE) on a geometry-optimized CaZnIn2Rh structure.

Output
**Symmetry**: P4/mmm
**Magnetic moment**: 0.000 μB per cell
**Fermi-level density of states**: 2.54 states/eV/f.u.

abc: 5.1557 5.1557 5.3420
angles: 90.00 90.00 90.00
Closest atoms and distances in Å follow each position.
Positions (direct):
Ca (0.0000, 0.0000, 0.0000)  2 Rh 2.67
Zn (0.5000, 0.5000, 0.0000)  4 Ca 3.65, 8 In 3.71
In (0.0000, 0.5000, 0.5000)  2 Rh 2.58
In (0.5000, 0.0000, 0.5000)  2 Rh 2.58
Rh (0.0000, 0.0000, 0.5000)  4 In 2.58, 2 Ca 2.67

=====

Arrangement 2

VASP calculation (GGA-PBE) on a geometry-optimized CaZnIn2Rh structure.

Output
**Symmetry**: P4/mmm
**Magnetic moment**: 0.000 μB per cell
**Fermi-level density of states**: 3.51 states/eV/f.u.

abc: 5.0997 5.0997 4.9043
angles: 90.00 90.00 90.00
Closest atoms and distances in Å follow each position.
Positions (direct):
Ca (0.0000, 0.0000, 0.0000)  8 In 3.54, 4 Zn 3.61
Zn (0.5000, 0.5000, 0.0000)  2 Rh 2.45
In (0.0000, 0.5000, 0.5000)  2 Rh 2.55
In (0.5000, 0.0000, 0.5000)  2 Rh 2.55
Rh (0.5000, 0.5000, 0.5000)  2 Zn 2.45, 4 In 2.55

=====

Quick one: most stable of them? arrangement 2

=====

Arrangement 1

VASP calculation (GGA-PBE) on a geometry-optimized Ca4InRu structure.

Output
**Symmetry**: C2/c
**Magnetic moment**: 0.000 μB per cell
**Fermi-level density of states**: 3.69 states/eV/f.u.

abc: 8.4525 8.4525 5.6750
angles: 99.88 99.88 113.72
Closest atoms and distances in Å follow each position.
Positions (direct):
Ca (0.0545, 0.7140, 0.9375)  2 Ru 2.95-3.00, 1 In 3.30
Ca (0.2208, 0.3659, 0.6470)  2 Ru 3.10-3.13, 2 In 3.42-3.46
Ca (0.2860, 0.9455, 0.5625)  2 Ru 2.95-3.00, 1 In 3.30
Ca (0.3659, 0.2208, 0.1470)  2 Ru 3.10-3.13, 2 In 3.42-3.46
Ca (0.6341, 0.7792, 0.8530)  2 Ru 3.10-3.13, 2 In 3.42-3.46
Ca (0.7140, 0.0545, 0.4375)  2 Ru 2.95-3.00, 1 In 3.30
Ca (0.7792, 0.6341, 0.3530)  2 Ru 3.10-3.13, 2 In 3.42-3.46
Ca (0.9455, 0.2860, 0.0625)  2 Ru 2.95-3.00, 1 In 3.30
In (0.3675, 0.6325, 0.2500)  10 Ca 3.30-3.48
In (0.6325, 0.3675, 0.7500)  10 Ca 3.30-3.48
Ru (0.0014, 0.9986, 0.7500)  2 Ru 2.84, 8 Ca 2.95-3.13
Ru (0.9986, 0.0014, 0.2500)  2 Ru 2.84, 8 Ca 2.95-3.13

=====

Arrangement 2

VASP calculation (GGA-PBE) on a geometry-optimized Ca4InRu structure.

Output
**Symmetry**: F-43m
**Magnetic moment**: 0.001 μB per cell
**Fermi-level density of states**: 9.27 states/eV/f.u.

abc: 6.1500 6.1500 6.1500
angles: 60.00 60.00 60.00
Closest atoms and distances in Å follow each position.
Positions (direct):
Ca (0.3760, 0.3760, 0.3760)  6 Ca 3.05-3.10
Ca (0.3760, 0.3760, 0.8721)  6 Ca 3.05-3.10
Ca (0.3760, 0.8721, 0.3760)  6 Ca 3.05-3.10
Ca (0.8721, 0.3760, 0.3760)  6 Ca 3.05-3.10
In (0.0000, 0.0000, 0.0000)  12 Ca 3.61, 4 Ru 3.77
Ru (0.7500, 0.7500, 0.7500)  12 Ca 3.60, 4 In 3.77

=====

Quick one: most stable of them? arrangement 1

=====

Arrangement 1

VASP calculation (GGA-PBE) on a geometry-optimized CaIn3Ru structure.

Output
**Symmetry**: Pm-3m
**Magnetic moment**: 2.285 μB per cell
**Fermi-level density of states**: 8.16 states/eV/f.u.

abc: 5.6635 5.6635 5.6635
angles: 90.00 90.00 90.00
Closest atoms and distances in Å follow each position.
Positions (direct):
Ca (0.0000, 0.0000, 0.0000)  6 In 2.83
In (0.0000, 0.0000, 0.5000)  2 Ca 2.83
In (0.0000, 0.5000, 0.0000)  2 Ca 2.83
In (0.5000, 0.0000, 0.0000)  2 Ca 2.83
Ru (0.5000, 0.5000, 0.5000)  12 In 4.00

=====

Arrangement 2

VASP calculation (GGA-PBE) on a geometry-optimized CaIn3Ru structure.

Output
**Symmetry**: Pm-3m
**Magnetic moment**: 0.000 μB per cell
**Fermi-level density of states**: 5.85 states/eV/f.u.

abc: 5.1526 5.1526 5.1526
angles: 90.00 90.00 90.00
Closest atoms and distances in Å follow each position.
Positions (direct):
Ca (0.0000, 0.0000, 0.0000)  12 In 3.64
In (0.0000, 0.5000, 0.5000)  2 Ru 2.58
In (0.5000, 0.0000, 0.5000)  2 Ru 2.58
In (0.5000, 0.5000, 0.0000)  2 Ru 2.58
Ru (0.5000, 0.5000, 0.5000)  6 In 2.58

=====

Quick one: most stable of them? arrangement 2

=====

Arrangement 1

VASP calculation (GGA-PBE) on a geometry-optimized Ca2InSb structure.

Output
**Symmetry**: F-43m
**Magnetic moment**: 0.000 μB per cell
**Fermi-level density of states**: 2.80 states/eV/f.u.

abc: 5.5647 5.5647 5.5647
angles: 60.00 60.00 60.00
Closest atoms and distances in Å follow each position.
Positions (direct):
Ca (0.0000, 0.0000, 0.0000)  4 Sb 3.41, 4 Ca 3.41
Ca (0.2500, 0.2500, 0.2500)  4 In 3.41, 4 Ca 3.41
In (0.5000, 0.5000, 0.5000)  4 Sb 3.41, 4 Ca 3.41
Sb (0.7500, 0.7500, 0.7500)  4 In 3.41, 4 Ca 3.41

=====

Arrangement 2

VASP calculation (GGA-PBE) on a geometry-optimized Ca2InSb structure.

Output
**Symmetry**: Cmmm
**Magnetic moment**: 0.000 μB per cell
**Fermi-level density of states**: 2.15 states/eV/f.u.

abc: 5.7808 5.7808 3.5024
angles: 90.00 90.00 103.45
Closest atoms and distances in Å follow each position.
Positions (direct):
Ca (0.0000, 0.5000, 0.0000)  4 In 3.38, 4 Sb 3.38, 4 Ca 3.50-3.58
Ca (0.5000, 0.0000, 0.0000)  4 In 3.38, 4 Sb 3.38, 4 Ca 3.50-3.58
In (0.0000, 0.0000, 0.5000)  8 Ca 3.38, 2 In 3.50, 2 Sb 3.58
Sb (0.5000, 0.5000, 0.5000)  8 Ca 3.38, 2 Sb 3.50, 2 In 3.58

=====

Quick one: most stable of them? arrangement 2